DFT (GGA-PBE) results for Cu5Au3I12 after structural relaxation.

Cell and atoms, written as POSCAR:
```
Cu5Au3I12
1.0
15.2433 0.0000 0.0000
-5.0811 14.3715 0.0000
-5.0811 -7.1858 12.4461
Au Cu I
12 20 48
Cartesian
8.8919 4.4911 1.5558
8.8919 9.8804 1.5558
-1.2703 6.2875 7.7788
1.2703 -0.8982 4.6673
11.4325 0.0000 3.1115
1.2703 7.1858 3.1115
3.8108 0.0000 9.3346
-6.3514 7.1858 9.3346
3.8108 8.0840 7.7788
6.3514 0.8982 4.6673
-3.8108 -2.6947 10.8903
-3.8108 2.6947 10.8903
-1.2703 3.5929 3.1115
-2.5405 7.1858 0.0000
0.0000 0.0000 0.0000
3.8108 2.6947 1.5558
5.0811 -3.5929 6.2230
5.0811 7.1858 0.0000
-3.8108 8.0840 4.6673
6.3514 -4.4911 10.8903
6.3514 6.2875 4.6673
1.2703 -3.5929 9.3346
3.8108 10.7786 3.1115
2.5405 3.5929 6.2230
7.6216 0.0000 0.0000
-2.5405 -3.5929 6.2230
-1.2703 0.8982 7.7788
-1.2703 11.6768 1.5558
-5.0811 3.5929 6.2230
8.8919 -0.8982 7.7788
1.2703 4.4911 10.8903
6.3514 3.5929 9.3346
4.2684 -5.0814 12.4442
0.8127 4.6435 4.3997
-3.5116 2.6543 4.2057
6.0521 1.2778 1.8215
1.1325 4.7565 8.2423
-4.1070 8.1254 2.0192
-1.5695 8.5623 6.0272
-3.5116 13.0937 1.8215
6.4892 -4.7565 8.2423
6.6475 6.2461 2.0192
8.4343 4.6467 4.4015
3.3532 5.0814 12.4442
-3.6730 5.9234 6.2212
3.5146 4.9672 0.1958
-5.8938 9.7248 4.4015
3.3532 -2.5423 8.0464
-1.4081 1.1669 2.0173
3.5146 8.4646 1.8234
6.0521 11.7172 4.2057
-0.9741 5.9069 1.8234
1.1325 -6.0189 10.4287
4.1100 5.8093 6.0272
6.2136 8.4481 6.2212
6.0552 -2.2185 12.2503
0.9710 1.3765 6.4189
-1.1325 -1.2624 6.2249
-0.9741 9.4043 0.1958
-0.9710 -4.5315 8.2404
3.9486 13.2046 2.0173
6.0552 1.2789 10.6227
1.5665 -1.2789 10.6227
1.7279 9.7281 4.3997
6.4892 6.0189 10.4287
10.9749 -2.5391 8.0446
8.7541 1.2624 6.2249
1.7279 2.1044 0.0019
1.5665 2.2185 12.2503
-1.4081 11.9423 4.2038
-1.5665 0.9397 10.4269
-3.3532 2.5391 8.0446
8.5927 -5.9080 10.6246
6.6506 -1.3765 6.4189
-0.9710 5.9080 10.6246
9.1881 -0.9397 10.4269
3.9486 2.4292 4.2038
8.5927 4.5315 8.2404
4.2684 2.5423 8.0464
0.8127 12.2671 0.0019
```

## Properties
N(E_F) ... 10.137 states/eV/f.u.
M_tot ... 0.0 μB/cell
Formation energy without anion corrections ... 3.70 kJ/mol of atoms

DFT (GGA-PBE) results for Cd2PbS2 after structural relaxation.

Cell and atoms, written as POSCAR:
```
Cd2PbS2
1.0
5.0420 0.0000 0.0000
0.0000 5.0420 0.0000
2.5210 2.5210 4.7405
Pb S Cd
1 2 2
Cartesian
0.0000 0.0000 0.0000
5.0420 2.5210 2.3703
2.5210 5.0420 2.3703
2.5210 2.5210 1.3618
5.0420 5.0420 3.3788
```

## Properties
N(E_F) ... 1.991 states/eV/f.u.
Polymorph energy (0 for the lowest one) ... 0.00 eV per formula unit
M_tot ... 0.0 μB/cell
Formation energy without anion corrections ... -13.79 kJ/mol of atoms

DFT (GGA-PBE) results for Li2ZrPd2 after structural relaxation.

Cell and atoms, written as POSCAR:
```
Li2ZrPd2
1.0
3.5130 0.0000 0.0000
0.0000 3.5130 0.0000
1.7565 1.7565 6.7941
Zr Pd Li
1 2 2
Cartesian
0.0000 0.0000 0.0000
1.7565 1.7565 1.3765
3.5130 3.5130 5.4175
3.5130 1.7565 3.3970
1.7565 3.5130 3.3970
```

## Properties
N(E_F) ... 2.723 states/eV/f.u.
Calculated formation energy ... -0.4236 eV/atom
Polymorph energy (0 for the lowest one) ... 0.12 eV per formula unit
M_tot ... 0.0 μB/cell

DFT (GGA-PBE) results for CsYCr3 after structural relaxation.

Cell and atoms, written as POSCAR:
```
CsYCr3
1.0
5.0788 0.0000 0.0000
0.0000 5.0788 0.0000
0.0000 0.0000 5.0788
Cs Y Cr
1 1 3
Cartesian
0.0000 0.0000 0.0000
2.5394 2.5394 2.5394
0.0000 2.5394 0.0000
0.0000 0.0000 2.5394
2.5394 0.0000 0.0000
```

## Properties
N(E_F) ... 1.973 states/eV/f.u.
Calculated formation energy ... 2.1404 eV/atom
M_tot ... 10.0 μB/cell